# 1
VASP calculation (PBE) on HoThHgBi after structural relaxation.

a b c (Å): 5.442 5.442 5.442
angles (deg): 60.00 60.00 60.00
Fractional coordinates of all 4 atoms:
Ho 0.000 0.000 0.000
Th 0.500 0.500 0.500
Hg 0.250 0.250 0.250
Bi 0.750 0.750 0.750

Values from the calculation:
ΔH_f (0 K) = -365 meV per atom
uncorrected energy = -4.4102 eV/atom
crystal system = cubic
D(E_F) = 1.119 states/eV per atom
SG = No. 216

***

# 2
VASP calculation (PBE) on NbHgB2 after structural relaxation.

a b c (Å): 5.275 5.275 5.275
angles (deg): 109.32 109.32 109.77
Fractional coordinates of all 8 atoms:
Nb 0.000 0.000 0.000
Nb 0.750 0.250 0.500
Hg 0.250 0.750 0.500
Hg 0.500 0.500 0.000
B 0.121 0.125 0.496
B 0.375 0.879 0.004
B 0.629 0.625 0.504
B 0.875 0.371 0.996

Values from the calculation:
ΔH_f (0 K) = 868 meV per atom
uncorrected energy = -5.0638 eV/atom
crystal system = tetragonal
D(E_F) = 0.410 states/eV per atom
SG = No. 122

***

# 3
VASP calculation (PBE) on NaMg7Ga5 after structural relaxation.

a b c (Å): 7.553 7.553 7.553
angles (deg): 136.65 96.35 99.34
Fractional coordinates of all 13 atoms:
Na 0.000 0.000 0.000
Mg 0.197 0.492 0.705
Mg 0.219 0.719 0.500
Mg 0.352 0.002 0.350
Mg 0.353 0.353 0.000
Mg 0.652 0.002 0.650
Mg 0.660 0.660 0.000
Mg 0.788 0.492 0.295
Ga 0.491 0.494 0.496
Ga 0.491 0.994 0.996
Ga 0.782 0.282 0.500
Ga 0.998 0.494 0.004
Ga 0.998 0.994 0.504

Values from the calculation:
ΔH_f (0 K) = -104 meV per atom
uncorrected energy = -2.2280 eV/atom
crystal system = orthorhombic
D(E_F) = 0.256 states/eV per atom
SG = No. 44